[1]
A plane-wave DFT calculation with GGA-PBEsol was carried out for Mg2NiSb after structural relaxation.

Summary:
E   -3.616 eV per atom
Formation energy without anion corrections   -8 kJ per mole of atoms

Lattice parameters (Å, degrees): 5.114 5.114 5.114 132.54 132.54 69.38
Sites, in units of the cell vectors:
Mg 0.000 0.000 0.000
Mg 0.750 0.250 0.500
Ni 0.500 0.500 0.000
Sb 0.250 0.750 0.500

=====

[2]
A plane-wave DFT calculation with GGA-PBEsol was carried out for CoPICl2 after structural relaxation.

Summary:
E   -2.532 eV per atom
Formation energy without anion corrections   128 kJ per mole of atoms

Lattice parameters (Å, degrees): 5.235 5.235 5.200 90.00 90.00 90.00
Sites, in units of the cell vectors:
Co 0.000 0.000 0.000
P 0.500 0.500 0.000
I 0.500 0.500 0.500
Cl 0.000 0.500 0.500
Cl 0.500 0.000 0.500

=====

[3]
A plane-wave DFT calculation with GGA-PBEsol was carried out for MnBeAs2 after structural relaxation.

Summary:
E   -5.899 eV per atom
Energy of formation   0.0943 eV/atom
Energy relative to the lowest polymorph listed for this composition   0.02 eV per formula unit

Lattice parameters (Å, degrees): 6.258 6.258 6.258 31.24 31.24 31.24
Sites, in units of the cell vectors:
Mn 0.000 0.000 0.000
Be 0.500 0.500 0.500
As 0.246 0.246 0.246
As 0.754 0.754 0.754

=====

[4]
A plane-wave DFT calculation with GGA-PBEsol was carried out for SrIrNF2 after structural relaxation.

Summary:
E   -6.062 eV per atom
Formation energy without anion corrections   -121 kJ per mole of atoms

Lattice parameters (Å, degrees): 4.486 4.486 3.744 90.00 90.00 90.00
Sites, in units of the cell vectors:
Sr 0.000 0.000 0.000
Ir 0.500 0.500 0.500
N 0.500 0.500 0.000
F 0.000 0.500 0.500
F 0.500 0.000 0.500